Below is a geometry-optimized LiAcBi4O8 structure, with properties calculated at the PBE level.

a = 6.9519 Å, b = 6.9519 Å, c = 6.9519 Å
α = 63.30°, β = 63.30°, γ = 63.30°
Atoms (fractional coordinates):
Li: 0.0000 0.0000 0.0000
Ac: 0.3780 0.3780 0.3780
Bi: 0.4593 0.9775 0.9775
Bi: 0.5893 0.5893 0.5893
Bi: 0.9775 0.4593 0.9775
Bi: 0.9775 0.9775 0.4593
O: 0.1890 0.1890 0.7787
O: 0.1890 0.7787 0.1890
O: 0.2233 0.2233 0.2233
O: 0.2377 0.6513 0.6513
O: 0.6513 0.2377 0.6513
O: 0.6513 0.6513 0.2377
O: 0.7449 0.7449 0.7449
O: 0.7787 0.1890 0.1890

Calculated total energy (eV/atom): -5.97
Space group: No. 160
ΔE_f (raw) (kcal/mol of atoms): -36.8

---

Below is a geometry-optimized LiAcBiPb structure, with properties calculated at the PBE level.

a = 7.9627 Å, b = 7.9627 Å, c = 7.9627 Å
α = 90.00°, β = 90.00°, γ = 90.00°
Atoms (fractional coordinates):
Li: 0.0000 0.0000 0.0000
Li: 0.0000 0.5000 0.5000
Li: 0.5000 0.0000 0.5000
Li: 0.5000 0.5000 0.0000
Ac: 0.0000 0.0000 0.5000
Ac: 0.0000 0.5000 0.0000
Ac: 0.5000 0.0000 0.0000
Ac: 0.5000 0.5000 0.5000
Bi: 0.2500 0.2500 0.2500
Bi: 0.2500 0.7500 0.7500
Bi: 0.7500 0.2500 0.7500
Bi: 0.7500 0.7500 0.2500
Pb: 0.2500 0.2500 0.7500
Pb: 0.2500 0.7500 0.2500
Pb: 0.7500 0.2500 0.2500
Pb: 0.7500 0.7500 0.7500

Calculated total energy (eV/atom): -3.79
Formation enthalpy at 0 K (eV per atom): -0.389
Space group: No. 216

---

Below is a geometry-optimized Li4Ac2Bi3Pb structure, with properties calculated at the PBE level.

a = 4.8317 Å, b = 4.8317 Å, c = 11.4927 Å
α = 90.00°, β = 90.00°, γ = 90.00°
Atoms (fractional coordinates):
Li: 0.0000 0.0000 0.0000
Li: 0.0000 0.5000 0.3745
Li: 0.5000 0.0000 0.6255
Li: 0.5000 0.5000 0.0000
Ac: 0.0000 0.5000 0.7413
Ac: 0.5000 0.0000 0.2587
Bi: 0.0000 0.0000 0.5000
Bi: 0.0000 0.5000 0.1405
Bi: 0.5000 0.0000 0.8595
Pb: 0.5000 0.5000 0.5000

Calculated total energy (eV/atom): -3.79
Formation enthalpy at 0 K (eV per atom): -0.667
Space group: No. 115

---

Below is a geometry-optimized Li3Ac2Bi4Pb structure, with properties calculated at the PBE level.

a = 4.8314 Å, b = 4.8314 Å, c = 12.8027 Å
α = 90.00°, β = 90.00°, γ = 90.00°
Atoms (fractional coordinates):
Li: 0.0000 0.0000 0.0000
Li: 0.0000 0.5000 0.6121
Li: 0.5000 0.0000 0.3879
Ac: 0.0000 0.5000 0.2783
Ac: 0.5000 0.0000 0.7217
Bi: 0.0000 0.0000 0.5000
Bi: 0.0000 0.5000 0.8227
Bi: 0.5000 0.0000 0.1773
Bi: 0.5000 0.5000 0.5000
Pb: 0.5000 0.5000 0.0000

Calculated total energy (eV/atom): -3.84
Formation enthalpy at 0 K (eV per atom): -0.522
Space group: No. 115

---

Below is a geometry-optimized LiAcBiPd structure, with properties calculated at the PBE level.

a = 7.3006 Å, b = 7.3006 Å, c = 7.3006 Å
α = 90.00°, β = 90.00°, γ = 90.00°
Atoms (fractional coordinates):
Li: 0.0000 0.0000 0.0000
Li: 0.0000 0.5000 0.5000
Li: 0.5000 0.0000 0.5000
Li: 0.5000 0.5000 0.0000
Ac: 0.2500 0.2500 0.7500
Ac: 0.2500 0.7500 0.2500
Ac: 0.7500 0.2500 0.2500
Ac: 0.7500 0.7500 0.7500
Bi: 0.2500 0.2500 0.2500
Bi: 0.2500 0.7500 0.7500
Bi: 0.7500 0.2500 0.7500
Bi: 0.7500 0.7500 0.2500
Pd: 0.0000 0.0000 0.5000
Pd: 0.0000 0.5000 0.0000
Pd: 0.5000 0.0000 0.0000
Pd: 0.5000 0.5000 0.5000

Calculated total energy (eV/atom): -4.35
Formation enthalpy at 0 K (eV per atom): -0.578
Space group: No. 216

---

Below is a geometry-optimized Li2Ac3BiPd9 structure, with properties calculated at the PBE level.

a = 6.2192 Å, b = 6.2192 Å, c = 9.6768 Å
α = 90.00°, β = 90.00°, γ = 120.00°
Atoms (fractional coordinates):
Li: 0.3333 0.6667 0.1454
Li: 0.6667 0.3333 0.8546
Ac: 0.0000 0.0000 0.0000
Ac: 0.3333 0.6667 0.6998
Ac: 0.6667 0.3333 0.3002
Bi: 0.0000 0.0000 0.5000
Pd: 0.0000 0.5000 0.0000
Pd: 0.1598 0.3196 0.2801
Pd: 0.1598 0.8402 0.2801
Pd: 0.3196 0.1598 0.7199
Pd: 0.5000 0.0000 0.0000
Pd: 0.5000 0.5000 0.0000
Pd: 0.6804 0.8402 0.2801
Pd: 0.8402 0.1598 0.7199
Pd: 0.8402 0.6804 0.7199

Calculated total energy (eV/atom): -4.94
Formation enthalpy at 0 K (eV per atom): -0.491
Space group: No. 164

---

Below is a geometry-optimized Li2AcPm2Bi2 structure, with properties calculated at the PBE level.

a = 9.9917 Å, b = 9.9917 Å, c = 9.9917 Å
α = 28.81°, β = 28.81°, γ = 28.81°
Atoms (fractional coordinates):
Li: 0.0813 0.0813 0.0813
Li: 0.9187 0.9187 0.9187
Ac: 0.5000 0.5000 0.5000
Pm: 0.3670 0.3670 0.3670
Pm: 0.6330 0.6330 0.6330
Bi: 0.2403 0.2403 0.2403
Bi: 0.7597 0.7597 0.7597

Calculated total energy (eV/atom): -4.06
Formation enthalpy at 0 K (eV per atom): -0.460
Space group: No. 166

---

Below is a geometry-optimized Li3Ac2PmBi4 structure, with properties calculated at the PBE level.

a = 4.9155 Å, b = 4.9155 Å, c = 12.2236 Å
α = 90.00°, β = 90.00°, γ = 90.00°
Atoms (fractional coordinates):
Li: 0.0000 0.0000 0.0000
Li: 0.0000 0.5000 0.6126
Li: 0.5000 0.0000 0.3874
Ac: 0.0000 0.5000 0.2764
Ac: 0.5000 0.0000 0.7236
Pm: 0.5000 0.5000 0.0000
Bi: 0.0000 0.0000 0.5000
Bi: 0.0000 0.5000 0.8347
Bi: 0.5000 0.0000 0.1653
Bi: 0.5000 0.5000 0.5000

Calculated total energy (eV/atom): -4.05
Formation enthalpy at 0 K (eV per atom): -0.628
Space group: No. 115

---

Below is a geometry-optimized LiAcPmBi structure, with properties calculated at the PBE level.

a = 7.9645 Å, b = 7.9645 Å, c = 7.9645 Å
α = 90.00°, β = 90.00°, γ = 90.00°
Atoms (fractional coordinates):
Li: 0.0000 0.0000 0.0000
Li: 0.0000 0.5000 0.5000
Li: 0.5000 0.0000 0.5000
Li: 0.5000 0.5000 0.0000
Ac: 0.2500 0.2500 0.2500
Ac: 0.2500 0.7500 0.7500
Ac: 0.7500 0.2500 0.7500
Ac: 0.7500 0.7500 0.2500
Pm: 0.2500 0.2500 0.7500
Pm: 0.2500 0.7500 0.2500
Pm: 0.7500 0.2500 0.2500
Pm: 0.7500 0.7500 0.7500
Bi: 0.0000 0.0000 0.5000
Bi: 0.0000 0.5000 0.0000
Bi: 0.5000 0.0000 0.0000
Bi: 0.5000 0.5000 0.5000

Calculated total energy (eV/atom): -3.99
Formation enthalpy at 0 K (eV per atom): -0.325
Space group: No. 216

---

Below is a geometry-optimized LiAcPrBi structure, with properties calculated at the PBE level.

a = 8.0086 Å, b = 8.0086 Å, c = 8.0086 Å
α = 90.00°, β = 90.00°, γ = 90.00°
Atoms (fractional coordinates):
Li: 0.0000 0.0000 0.0000
Li: 0.0000 0.5000 0.5000
Li: 0.5000 0.0000 0.5000
Li: 0.5000 0.5000 0.0000
Ac: 0.2500 0.2500 0.2500
Ac: 0.2500 0.7500 0.7500
Ac: 0.7500 0.2500 0.7500
Ac: 0.7500 0.7500 0.2500
Pr: 0.2500 0.2500 0.7500
Pr: 0.2500 0.7500 0.2500
Pr: 0.7500 0.2500 0.2500
Pr: 0.7500 0.7500 0.7500
Bi: 0.0000 0.0000 0.5000
Bi: 0.0000 0.5000 0.0000
Bi: 0.5000 0.0000 0.0000
Bi: 0.5000 0.5000 0.5000

Calculated total energy (eV/atom): -4.02
Formation enthalpy at 0 K (eV per atom): -0.345
Space group: No. 216

---

Below is a geometry-optimized LiAcPuBi structure, with properties calculated at the PBE level.

a = 7.8105 Å, b = 7.8105 Å, c = 7.8105 Å
α = 90.00°, β = 90.00°, γ = 90.00°
Atoms (fractional coordinates):
Li: 0.0000 0.0000 0.0000
Li: 0.0000 0.5000 0.5000
Li: 0.5000 0.0000 0.5000
Li: 0.5000 0.5000 0.0000
Ac: 0.2500 0.2500 0.7500
Ac: 0.2500 0.7500 0.2500
Ac: 0.7500 0.2500 0.2500
Ac: 0.7500 0.7500 0.7500
Pu: 0.0000 0.0000 0.5000
Pu: 0.0000 0.5000 0.0000
Pu: 0.5000 0.0000 0.0000
Pu: 0.5000 0.5000 0.5000
Bi: 0.2500 0.2500 0.2500
Bi: 0.2500 0.7500 0.7500
Bi: 0.7500 0.2500 0.7500
Bi: 0.7500 0.7500 0.2500

Calculated total energy (eV/atom): -6.04
Formation enthalpy at 0 K (eV per atom): 0.018
Space group: No. 216

---

Below is a geometry-optimized RbLi2AcBi2 structure, with properties calculated at the PBE level.

a = 4.9605 Å, b = 4.9605 Å, c = 9.6798 Å
α = 90.00°, β = 90.00°, γ = 120.00°
Atoms (fractional coordinates):
Rb: 0.0000 0.0000 0.0000
Li: 0.3333 0.6667 0.2689
Li: 0.6667 0.3333 0.7311
Ac: 0.0000 0.0000 0.5000
Bi: 0.3333 0.6667 0.7098
Bi: 0.6667 0.3333 0.2902

Calculated total energy (eV/atom): -3.45
Formation enthalpy at 0 K (eV per atom): -0.669
Space group: No. 164